[1]
YInB3 after structural relaxation. Source: the Alexandria database, functional GGA-PBE.

Output
- Fermi-level density of states: 3.75 states/eV/cell
- Crystal system: cubic
- Calculated density: 3.69 g cm⁻³
- Raw total energy: -3.819 eV/atom
- ΔH_f (0 K): 2028 meV per atom
- Symmetry: Pm-3m

Cell and atoms, written as POSCAR:
```
YInB3
1.0
-2.898 3.748 -0.018
-3.649 -2.826 -1.068
-0.855 -0.640 4.616
Y B In
1 3 1
direct
0.000 0.000 0.000
0.500 0.000 0.000
0.000 0.500 0.000
0.000 0.000 0.500
0.500 0.500 0.500
```

***

[2]
TlAs2Pd2 after structural relaxation. Source: the Alexandria database, functional GGA-PBE.

Output
- Fermi-level density of states: 5.50 states/eV/cell
- Crystal system: tetragonal
- Calculated density: 9.76 g cm⁻³
- Raw total energy: -4.519 eV/atom
- ΔH_f (0 K): -109 meV per atom
- Symmetry: P4/mbm

Cell and atoms, written as POSCAR:
```
TlAs2Pd2
1.0
7.998 0.000 0.000
0.000 7.998 0.000
0.000 0.000 3.016
As Tl Pd
4 2 4
direct
0.358 0.142 0.500
0.858 0.358 0.500
0.642 0.858 0.500
0.142 0.642 0.500
0.500 0.500 0.000
0.000 0.000 0.000
0.135 0.365 0.000
0.865 0.635 0.000
0.365 0.865 0.000
0.635 0.135 0.000
```

***

[3]
Sr6Hg7 after structural relaxation. Source: the Alexandria database, functional GGA-PBE.

Output
- Fermi-level density of states: 10.42 states/eV/cell
- Crystal system: trigonal
- Calculated density: 7.23 g cm⁻³
- Raw total energy: -1.267 eV/atom
- ΔH_f (0 K): -329 meV per atom
- Symmetry: R-3m

Cell and atoms, written as POSCAR:
```
Sr6Hg7
1.0
11.893 -0.037 -0.023
9.997 6.442 -0.023
9.997 2.925 5.740
Sr Hg
6 7
direct
0.327 0.327 0.327
0.673 0.673 0.673
0.940 0.940 0.940
0.060 0.060 0.060
0.173 0.173 0.173
0.827 0.827 0.827
0.575 0.575 0.105
0.895 0.425 0.425
0.425 0.895 0.425
0.500 0.500 0.500
0.425 0.425 0.895
0.575 0.105 0.575
0.105 0.575 0.575
```

***

[4]
Sc8SiSn2 after structural relaxation. Source: the Alexandria database, functional GGA-PBE.

Output
- Fermi-level density of states: 12.66 states/eV/cell
- Crystal system: monoclinic
- Calculated density: 4.13 g cm⁻³
- Formation energy (no corrections): -0.41 eV per atom
- Raw total energy: -6.233 eV/atom
- Symmetry: C2/m

Cell and atoms, written as POSCAR:
```
Sc8SiSn2
1.0
-0.522 -2.495 4.023
-0.857 -5.093 -3.270
9.118 1.852 -0.488
Si Sc Sn
1 8 2
direct
0.500 0.000 0.000
0.223 0.318 0.446
0.413 0.537 0.825
0.587 0.463 0.175
0.351 0.996 0.701
0.983 0.225 0.966
0.017 0.775 0.034
0.649 0.004 0.299
0.777 0.682 0.554
0.176 0.747 0.353
0.824 0.253 0.647
```

***

Which of these has the highest Fermi-level density of states?
Sc8SiSn2